A plane-wave DFT calculation with PBE-GGA was carried out for crystalline VB2PdC at its relaxed geometry.

Properties
ΔE_f (eV per formula unit): 10.08
E (eV/atom): -5.362

Unit cell a=4.015 b=4.015 c=3.910 alpha=90.00 beta=90.00 gamma=90.00
Space group P4/mmm (No. 123)
Inequivalent atoms, fractional coordinates:
V 0.000 0.000 0.000 [1 per cell]
B 0.000 0.500 0.500 [2 per cell]
Pd 0.500 0.500 0.500 [1 per cell]
C 0.500 0.500 0.000 [1 per cell]

A plane-wave DFT calculation with PBE-GGA was carried out for crystalline YB2Pd2C at its relaxed geometry.

Properties
ΔE_f (eV per formula unit): -2.93
E (eV/atom): -7.060

Unit cell a=3.786 b=3.786 c=10.791 alpha=90.00 beta=90.00 gamma=90.00
Space group I4/mmm (No. 139)
Inequivalent atoms, fractional coordinates:
Y 0.000 0.000 0.000 [2 per cell]
B 0.000 0.000 0.363 [4 per cell]
Pd 0.000 0.500 0.250 [4 per cell]
C 0.000 0.000 0.500 [2 per cell]

A plane-wave DFT calculation with PBE-GGA was carried out for crystalline Pm3BC4 at its relaxed geometry.

Properties
ΔE_f (eV per formula unit): 1.59
E (eV/atom): -7.029

Unit cell a=3.978 b=4.363 c=12.976 alpha=90.00 beta=90.00 gamma=90.00
Space group Immm (No. 71)
Inequivalent atoms, fractional coordinates:
Pm 0.000 0.000 0.000 [2 per cell]
Pm 0.000 0.500 0.183 [4 per cell]
B 0.000 0.000 0.500 [2 per cell]
C 0.000 0.337 0.384 [8 per cell]

A plane-wave DFT calculation with PBE-GGA was carried out for crystalline PmB6C2 at its relaxed geometry.

Properties
ΔE_f (eV per formula unit): 3.35
E (eV/atom): -6.657

Unit cell a=9.353 b=6.319 c=4.129 alpha=90.00 beta=90.37 gamma=90.00
Space group C2/m (No. 12)
Inequivalent atoms, fractional coordinates:
Pm 0.000 0.000 0.000 [2 per cell]
B 0.000 0.367 0.500 [4 per cell]
B 0.155 0.227 0.502 [8 per cell]
C 0.169 0.000 0.503 [4 per cell]

A plane-wave DFT calculation with PBE-GGA was carried out for crystalline PmB2C2 at its relaxed geometry.

Properties
ΔE_f (eV per formula unit): 0.85
E (eV/atom): -7.141

Unit cell a=2.9987 b=2.9987 c=11.9751 alpha=90.00 beta=90.00 gamma=120.00
Space group P6_3/mmc (No. 194)
Inequivalent atoms, fractional coordinates:
Pm 0.0000 0.0000 0.2500 [2 per cell]
B 0.3333 0.6667 0.0610 [4 per cell]
C 0.3333 0.6667 0.5850 [4 per cell]

A plane-wave DFT calculation with PBE-GGA was carried out for crystalline PmB2C2 at its relaxed geometry.

Properties
ΔE_f (eV per formula unit): -2.09
E (eV/atom): -7.729

Unit cell a=5.382 b=5.382 c=7.561 alpha=90.00 beta=90.00 gamma=90.00
Space group I4/mcm (No. 140)
Inequivalent atoms, fractional coordinates:
Pm 0.000 0.000 0.250 [4 per cell]
B 0.137 0.363 0.000 [8 per cell]
C 0.161 0.339 0.500 [8 per cell]

A plane-wave DFT calculation with PBE-GGA was carried out for crystalline Pm4B3C5 at its relaxed geometry.

Properties
ΔE_f (eV per formula unit): 0.70
E (eV/atom): -7.038

Unit cell a=10.466 b=3.829 c=9.067 alpha=90.00 beta=109.65 gamma=90.00
Space group C2/m (No. 12)
Inequivalent atoms, fractional coordinates:
Pm 0.105 0.000 0.391 [4 per cell]
Pm 0.244 0.500 0.160 [4 per cell]
B 0.000 0.000 0.000 [2 per cell]
B 0.045 0.500 0.861 [4 per cell]
C 0.000 0.500 0.000 [2 per cell]
C 0.083 0.500 0.722 [4 per cell]
C 0.163 0.500 0.627 [4 per cell]

A plane-wave DFT calculation with PBE-GGA was carried out for crystalline PmBC at its relaxed geometry.

Properties
ΔE_f (eV per formula unit): -0.06
E (eV/atom): -6.904

Unit cell a=5.455 b=3.094 c=9.175 alpha=90.00 beta=90.00 gamma=90.00
Space group Pnma (No. 62)
Inequivalent atoms, fractional coordinates:
Pm 0.152 0.250 0.148 [4 per cell]
B 0.043 0.750 0.422 [4 per cell]
C 0.167 0.250 0.439 [4 per cell]

no.,total magnetic moment (μB per cell)
1,0.0
2,0.0
3,0.0
4,0.0
5,0.0
6,0.0
7,0.0
8,0.0